Density functional theory data (GGA-PBE) for crystalline K2TiNiSe4 at its relaxed geometry.

Computed properties:
Space-group type: No. 70
ΔE_f (raw) (eV/atom): -0.96
Calculated density (g cm⁻³): 3.5

a b c (Å): 5.7958 7.3898 12.5202
angles (deg): 84.79 76.62 66.91
Each line ends with the local moment (μB).
Sites, in units of the cell vectors:
K  0.1797  0.0000  0.6407  0.00
Ni  0.2500  0.5000  0.5000  1.06
Ti  0.7500  0.5000  0.5000  -0.03
Se  0.4512  0.7007  0.3914  0.14
Se  0.9019  0.7993  0.8914  0.14
Se  0.8481  0.7007  0.6086  0.14
Se  0.2067  0.2007  0.8914  0.14
Ti  0.0000  0.0000  0.0000  -0.03
K  0.8203  0.0000  0.3593  0.00
Ni  0.5000  0.0000  0.0000  1.06
Se  0.5433  0.2993  0.6086  0.14
Se  0.5925  0.2007  0.1086  0.14
Se  0.2988  0.7993  0.1086  0.14
Se  0.1575  0.2993  0.3914  0.14
K  0.5703  0.5000  0.8593  0.00
K  0.9297  0.5000  0.1407  0.00

Density functional theory data (GGA-PBE) for crystalline CsCaIrI2 at its relaxed geometry.

Computed properties:
Space-group type: No. 123
ΔE_f (raw) (eV/atom): 0.17
Calculated density (g cm⁻³): 2.1

a b c (Å): 5.9102 14.0428 5.9102
angles (deg): 90.00 90.00 90.00
Each line ends with the local moment (μB).
Sites, in units of the cell vectors:
I  0.0000  0.0000  0.5000  0.00
I  0.5000  0.0000  0.0000  0.00
Ca  0.0000  0.0000  0.0000  0.00
Ir  0.5000  0.5000  0.5000  1.85
Cs  0.0000  0.5000  0.0000  0.00

Density functional theory data (GGA-PBE) for crystalline YRhAu2S at its relaxed geometry.

Computed properties:
Space-group type: No. 123
ΔE_f (raw) (eV/atom): -0.12
Calculated density (g cm⁻³): 9.9

a b c (Å): 4.8274 4.4523 4.8274
angles (deg): 90.00 90.00 90.00
Sites, in units of the cell vectors:
Y  0.5000  0.5000  0.5000
Rh  0.0000  0.5000  0.0000
S  0.0000  0.0000  0.0000
Au  0.5000  0.0000  0.0000
Au  0.0000  0.0000  0.5000

Density functional theory data (GGA-PBE) for crystalline SmTmPbO2 at its relaxed geometry.

Computed properties:
Space-group type: No. 107
ΔE_f (raw) (eV/atom): -2.53
Calculated density (g cm⁻³): 8.7

a b c (Å): 3.8611 3.8611 7.6306
angles (deg): 104.66 104.66 90.00
Sites, in units of the cell vectors:
Sm  0.8319  0.8319  0.6639
O  0.7460  0.2460  0.4919
Pb  0.5034  0.5034  0.0067
Tm  0.1728  0.1728  0.3456
O  0.2460  0.7460  0.4919

Density functional theory data (GGA-PBE) for crystalline TeAs3H at its relaxed geometry.

Computed properties:
Relative energy among the computed polymorphs (meV per atom): 0
Space-group type: No. 221
Calculated density (g cm⁻³): 6.6

a b c (Å): 4.4550 4.4550 4.4550
angles (deg): 90.00 90.00 90.00
Sites, in units of the cell vectors:
As  0.0000  0.0000  0.5000
As  0.5000  0.0000  0.0000
Te  0.5000  0.5000  0.5000
As  0.0000  0.5000  0.0000
H  0.0000  0.0000  0.0000

Density functional theory data (GGA-PBE) for crystalline AcCeMg2 at its relaxed geometry.

Computed properties:
Space-group type: No. 166
Calculated density (g cm⁻³): 5.4
E_form (eV per atom): 0.156

a b c (Å): 3.6131 3.6131 11.5135
angles (deg): 80.97 80.97 60.00
Each line ends with the local moment (μB).
Sites, in units of the cell vectors:
Ac  0.5000  0.5000  0.5000  0.00
Mg  0.2533  0.2533  0.2402  0.00
Ce  0.0000  0.0000  0.0000  0.96
Mg  0.7467  0.7467  0.7598  0.00

Density functional theory data (GGA-PBE) for crystalline Zn2InMo at its relaxed geometry.

Computed properties:
Space-group type: No. 99
Calculated density (g cm⁻³): 8.3
E_form (eV per atom): 0.320

a b c (Å): 3.1840 3.1840 6.7401
angles (deg): 90.00 90.00 90.00
Each line ends with the local moment (μB).
Sites, in units of the cell vectors:
Mo  0.5000  0.5000  0.7842  0.69
Zn  0.5000  0.5000  0.2085  0.00
Zn  0.0000  0.0000  0.0060  0.02
In  0.0000  0.0000  0.5013  0.00

Density functional theory data (GGA-PBE) for crystalline K4ErNp3Te8 at its relaxed geometry.

Computed properties:
Space-group type: No. 166
ΔE_f (raw) (eV/atom): -1.01
Calculated density (g cm⁻³): 5.8

a b c (Å): 9.0968 9.7404 9.0934
angles (deg): 117.82 120.01 90.00
Each line ends with the local moment (μB).
Sites, in units of the cell vectors:
Np  0.0000  0.5000  0.5000  -4.01
K  0.0000  0.0000  0.0000  0.00
Te  0.2336  0.7090  0.4672  0.05
Np  0.5000  0.5000  0.0000  -4.01
Np  0.5000  0.5000  0.5000  -4.01
Te  0.7364  0.7093  0.4728  0.08
Te  0.2337  0.7089  0.9754  0.05
Te  0.7663  0.2911  0.0246  0.05
Te  0.2636  0.2907  0.5272  0.08
Te  0.7417  0.7089  0.9754  0.05
Er  0.0000  0.5000  0.0000  -0.04
K  0.5000  0.0000  0.5000  0.00
Te  0.2583  0.2911  0.0246  0.05
K  0.0000  0.0000  0.5000  0.00
K  0.5000  0.0000  0.0000  0.00
Te  0.7664  0.2910  0.5328  0.05

Density functional theory data (GGA-PBE) for crystalline Ti3SI7 at its relaxed geometry.

Computed properties:
Space-group type: No. 156
ΔE_f (raw) (eV/atom): -0.85
Calculated density (g cm⁻³): 4.6

a b c (Å): 7.3072 7.7971 7.7971
angles (deg): 120.00 90.00 90.00
Each line ends with the local moment (μB).
Sites, in units of the cell vectors:
Ti  0.7721  0.4757  0.9514  0.90
I  0.5641  0.8330  0.1670  -0.03
Ti  0.7721  0.0486  0.5243  0.90
S  0.5744  0.3333  0.6667  -0.01
I  0.0166  0.1679  0.8321  -0.03
I  0.0166  0.1679  0.3359  -0.03
Ti  0.7721  0.4757  0.5243  0.90
I  0.5641  0.3339  0.1670  -0.03
I  0.0166  0.6641  0.8321  -0.03
I  0.5641  0.8330  0.6661  -0.03
I  0.9822  0.6667  0.3333  -0.02

Density functional theory data (GGA-PBE) for crystalline V2HRhAu at its relaxed geometry.

Computed properties:
Relative energy among the computed polymorphs (meV per atom): 106
Space-group type: No. 123
Calculated density (g cm⁻³): 11.1

a b c (Å): 3.8493 3.8493 4.0713
angles (deg): 90.00 90.00 90.00
Sites, in units of the cell vectors:
H  0.0000  0.0000  0.0000
Rh  0.5000  0.5000  0.5000
V  0.0000  0.5000  0.0000
Au  0.0000  0.0000  0.5000
V  0.5000  0.0000  0.0000

Density functional theory data (GGA-PBE) for crystalline Tb7HoEr2 at its relaxed geometry.

Computed properties:
Relative energy among the computed polymorphs (meV per atom): 643
Space-group type: No. 65
Calculated density (g cm⁻³): 6.9
E_form (eV per atom): 0.690

a b c (Å): 5.3154 9.4394 9.4394
angles (deg): 125.24 90.00 90.00
Sites, in units of the cell vectors:
Tb  0.0000  0.2017  0.7983
Er  0.5000  0.7026  0.2974
Tb  0.5000  0.2892  0.0677
Er  0.5000  0.2974  0.7026
Tb  0.5000  0.5000  0.5000
Tb  0.5000  0.7108  0.9323
Tb  0.5000  0.9323  0.7108
Tb  0.5000  0.0677  0.2892
Ho  0.0000  0.0000  0.0000
Tb  0.0000  0.7983  0.2017

Density functional theory data (GGA-PBE) for crystalline RbMnI3 at its relaxed geometry.

Computed properties:
Space-group type: No. 1
ΔE_f (raw) (eV/atom): -0.87
Calculated density (g cm⁻³): 3.4

a b c (Å): 9.6792 6.8371 11.4562
angles (deg): 108.56 48.23 90.50
Each line ends with the local moment (μB).
Sites, in units of the cell vectors:
I  0.9293  0.9566  0.7645  0.05
Rb  0.9323  0.5505  0.9641  0.00
Mn  0.2806  0.7093  0.4658  4.29
I  0.4146  0.6414  0.1602  0.05
Mn  0.5830  0.3938  0.4629  4.29
I  0.4500  0.4606  0.7679  0.05
Rb  0.4287  0.0516  0.9699  0.00
I  0.5575  0.8011  0.4690  0.08
I  0.3054  0.3024  0.4602  0.08
I  0.9335  0.1466  0.1622  0.05

Density functional theory data (GGA-PBE) for crystalline BAs2Pd8 at its relaxed geometry.

Computed properties:
Relative energy among the computed polymorphs (meV per atom): 119
Space-group type: No. 71
Calculated density (g cm⁻³): 9.9
E_form (eV per atom): -0.127

a b c (Å): 4.3666 7.5464 6.7480
angles (deg): 124.00 108.88 90.00
Sites, in units of the cell vectors:
Pd  0.1402  0.1402  0.2804
Pd  0.3547  0.6225  0.7094
As  0.1920  0.6920  0.3839
Pd  0.8598  0.8598  0.7196
Pd  0.6453  0.9130  0.2906
B  0.5000  0.0000  0.0000
As  0.8080  0.3080  0.6161
Pd  0.0000  0.6859  0.0000
Pd  0.3547  0.0870  0.7094
Pd  0.6453  0.3775  0.2906
Pd  0.0000  0.3141  0.0000

Density functional theory data (GGA-PBE) for crystalline PmSmPt at its relaxed geometry.

Computed properties:
Relative energy among the computed polymorphs (meV per atom): 102
Space-group type: No. 12
Calculated density (g cm⁻³): 8.5
E_form (eV per atom): -0.715

a b c (Å): 4.2340 4.2302 12.5908
angles (deg): 99.73 90.00 120.03
Sites, in units of the cell vectors:
Pt  0.9162  0.8324  0.7447
Pm  0.7921  0.5841  0.3780
Pt  0.0838  0.1676  0.2553
Pm  0.2079  0.4159  0.6220
Sm  0.3768  0.7536  0.1347
Sm  0.6232  0.2464  0.8653

Density functional theory data (GGA-PBE) for crystalline SbTeH2Os at its relaxed geometry.

Computed properties:
Space-group type: No. 123
Calculated density (g cm⁻³): 9.1
Total energy (eV per atom): -4.448

a b c (Å): 3.8269 5.4772 3.8269
angles (deg): 90.00 90.00 90.00
Sites, in units of the cell vectors:
H  0.0000  0.0000  0.5000
Te  0.0000  0.0000  0.0000
Os  0.0000  0.5000  0.0000
H  0.5000  0.0000  0.0000
Sb  0.5000  0.5000  0.5000

Density functional theory data (GGA-PBE) for crystalline Sm3Ho2PuS6 at its relaxed geometry.

Computed properties:
Space-group type: No. 12
ΔE_f (raw) (eV/atom): -1.99
Calculated density (g cm⁻³): 7.7

a b c (Å): 3.9355 7.9563 8.8576
angles (deg): 103.16 102.84 90.00
Each line ends with the local moment (μB).
Sites, in units of the cell vectors:
S  0.3334  0.9090  0.6668  -0.02
S  0.0025  0.2478  0.0049  -0.04
S  0.3298  0.4233  0.6596  0.01
Ho  0.8358  0.6715  0.6715  0.04
Pu  0.5000  0.0000  0.0000  5.34
S  0.6666  0.0910  0.3332  -0.02
Sm  0.8350  0.1648  0.6699  0.02
S  0.9975  0.7522  0.9951  -0.04
Sm  0.1650  0.8352  0.3301  0.02
Ho  0.1642  0.3285  0.3285  0.04
Sm  0.5000  0.5000  0.0000  0.00
S  0.6702  0.5767  0.3404  0.01

Density functional theory data (GGA-PBE) for crystalline YMgCu at its relaxed geometry.

Computed properties:
Relative energy among the computed polymorphs (meV per atom): 26
Space-group type: No. 14
Calculated density (g cm⁻³): 4.4
E_form (eV per atom): -0.193

a b c (Å): 5.5135 6.7701 7.4803
angles (deg): 70.94 90.00 90.00
Sites, in units of the cell vectors:
Y  0.3850  0.6605  0.6345
Cu  0.6107  0.6711  0.9843
Mg  0.3853  0.0752  0.7993
Cu  0.3893  0.3289  0.0157
Cu  0.1107  0.3289  0.5157
Y  0.6150  0.3395  0.3655
Cu  0.8893  0.6711  0.4843
Mg  0.8853  0.9248  0.7007
Y  0.1150  0.6605  0.1345
Mg  0.6147  0.9248  0.2007
Mg  0.1147  0.0752  0.2993
Y  0.8850  0.3395  0.8655

Density functional theory data (GGA-PBE) for crystalline PmVRu2 at its relaxed geometry.

Computed properties:
Relative energy among the computed polymorphs (meV per atom): 230
Space-group type: No. 123
Calculated density (g cm⁻³): 9.5
E_form (eV per atom): 0.115

a b c (Å): 3.2490 4.6199 4.6199
angles (deg): 90.00 90.00 90.00
Each line ends with the local moment (μB).
Sites, in units of the cell vectors:
Ru  0.0000  0.5000  0.0000  -0.17
Pm  0.5000  0.0000  0.0000  0.01
Ru  0.0000  0.0000  0.5000  -0.17
V  0.5000  0.5000  0.5000  0.74

Density functional theory data (GGA-PBE) for crystalline HoZnSi2Pt2 at its relaxed geometry.

Computed properties:
Space-group type: No. 164
ΔE_f (raw) (eV/atom): -0.81
Calculated density (g cm⁻³): 11.0

a b c (Å): 4.2091 4.2091 6.6656
angles (deg): 90.00 90.00 120.00
Sites, in units of the cell vectors:
Si  0.6667  0.3333  0.2817
Si  0.3333  0.6667  0.7183
Pt  0.6667  0.3333  0.6928
Zn  0.0000  0.0000  0.5000
Ho  0.0000  0.0000  0.0000
Pt  0.3333  0.6667  0.3072

Density functional theory data (GGA-PBE) for crystalline RbO2 at its relaxed geometry.

Computed properties:
Relative energy among the computed polymorphs (meV per atom): 12
Space-group type: No. 15
ΔE_f (raw) (eV/atom): -0.84
Calculated density (g cm⁻³): 2.9

a b c (Å): 4.5299 4.5284 11.4198
angles (deg): 136.20 58.13 120.67
Each line ends with the local moment (μB).
Sites, in units of the cell vectors:
O  0.6507  0.9421  0.9336  0.40
Rb  0.9107  0.6606  0.2499  0.01
O  0.3493  0.0579  0.0664  0.40
O  0.4911  0.2830  0.4338  0.40
O  0.5089  0.7170  0.5662  0.40
Rb  0.0893  0.3394  0.7501  0.01